1.
Compound: InNClF2
Source: the Alexandria database
Functional: GGA-PBE
Structure: relaxed

Distance to the lowest polymorph of the same formula ... 55.6 kJ per mole of atoms
Formation energy from raw total energies ... 3.5 kcal/mol of atoms
Magnetization ... 0.00 μB/f.u.

Cell lengths 4.8488, 4.8488, 3.2788 Å; angles 90.00, 90.00, 90.00 degrees
Fractional positions:
In (0.0000, 0.0000, 0.0000)
N (0.5000, 0.5000, 0.0000)
Cl (0.5000, 0.5000, 0.5000)
F (0.0000, 0.5000, 0.5000)
F (0.5000, 0.0000, 0.5000)

***

2.
Compound: CaAg2As
Source: the Alexandria database
Functional: GGA-PBE
Structure: relaxed

ΔE_f ... -0.2364 eV/atom
Magnetization ... 0.00 μB/f.u.

Cell lengths 4.1863, 4.1863, 20.6065 Å; angles 90.00, 90.00, 90.00 degrees
Fractional positions:
Ca (0.0000, 0.0000, 0.0000)
Ca (0.0000, 0.5000, 0.2500)
Ca (0.5000, 0.0000, 0.7500)
Ca (0.5000, 0.5000, 0.5000)
Ag (0.2241, 0.2500, 0.6250)
Ag (0.2500, 0.7241, 0.8750)
Ag (0.2500, 0.7759, 0.3750)
Ag (0.2759, 0.2500, 0.1250)
Ag (0.7241, 0.7500, 0.1250)
Ag (0.7500, 0.2241, 0.3750)
Ag (0.7500, 0.2759, 0.8750)
Ag (0.7759, 0.7500, 0.6250)
As (0.0000, 0.0000, 0.5000)
As (0.0000, 0.5000, 0.7500)
As (0.5000, 0.0000, 0.2500)
As (0.5000, 0.5000, 0.0000)

***

3.
Compound: Mn2Os2I
Source: the Alexandria database
Functional: GGA-PBE
Structure: relaxed

Distance to the lowest polymorph of the same formula ... 12.5 kJ per mole of atoms
Formation energy from raw total energies ... 18.7 kcal/mol of atoms
Magnetization ... 0.75 μB/f.u.

Cell lengths 7.4861, 7.4861, 2.7475 Å; angles 90.00, 90.00, 90.00 degrees
Fractional positions:
Mn (0.1598, 0.3402, 0.0000)
Mn (0.3402, 0.8402, 0.0000)
Mn (0.6598, 0.1598, 0.0000)
Mn (0.8402, 0.6598, 0.0000)
Os (0.1243, 0.6243, 0.5000)
Os (0.3757, 0.1243, 0.5000)
Os (0.6243, 0.8757, 0.5000)
Os (0.8757, 0.3757, 0.5000)
I (0.0000, 0.0000, 0.0000)
I (0.5000, 0.5000, 0.0000)

***

4.
Compound: KLiNp2Te4
Source: the Alexandria database
Functional: GGA-PBE
Structure: relaxed

Formation energy from raw total energies ... -19.2 kcal/mol of atoms
Magnetization ... 8.00 μB/f.u.

Cell lengths 7.8093, 7.8093, 15.7755 Å; angles 90.00, 90.00, 146.38 degrees
Fractional positions:
K (0.1131, 0.8869, 0.7500)
K (0.8869, 0.1131, 0.2500)
Li (0.1626, 0.8374, 0.2500)
Li (0.8374, 0.1626, 0.7500)
Np (0.3678, 0.6322, 0.5622)
Np (0.3678, 0.6322, 0.9378)
Np (0.6322, 0.3678, 0.0622)
Np (0.6322, 0.3678, 0.4378)
Te (0.0000, 0.0000, 0.0000)
Te (0.0000, 0.0000, 0.5000)
Te (0.2674, 0.7326, 0.1096)
Te (0.2674, 0.7326, 0.3903)
Te (0.4353, 0.5647, 0.7500)
Te (0.5647, 0.4353, 0.2500)
Te (0.7326, 0.2674, 0.6096)
Te (0.7326, 0.2674, 0.8904)

***

5.
Compound: Ce5PuGe6
Source: the Alexandria database
Functional: GGA-PBE
Structure: relaxed

ΔE_f ... -0.5611 eV/atom
Magnetization ... 4.43 μB/f.u.

Cell lengths 7.3210, 7.3210, 7.3156 Å; angles 99.61, 99.61, 119.98 degrees
Fractional positions:
Ce (0.0000, 0.0000, 0.0000)
Ce (0.1664, 0.8336, 0.5000)
Ce (0.3327, 0.6673, 0.0000)
Ce (0.6673, 0.3327, 0.0000)
Ce (0.8336, 0.1664, 0.5000)
Pu (0.5000, 0.5000, 0.5000)
Ge (0.0857, 0.4173, 0.2512)
Ge (0.2518, 0.2518, 0.7493)
Ge (0.4173, 0.0857, 0.2512)
Ge (0.5827, 0.9143, 0.7488)
Ge (0.7482, 0.7482, 0.2507)
Ge (0.9143, 0.5827, 0.7488)

***

6.
Compound: HoTmTh
Source: the Alexandria database
Functional: GGA-PBE
Structure: relaxed

ΔE_f ... 0.7959 eV/atom
Distance to the lowest polymorph of the same formula ... 74.9 kJ per mole of atoms
Magnetization ... 0.00 μB/f.u.

Cell lengths 7.4544, 7.4544, 7.4544 Å; angles 90.00, 90.00, 90.00 degrees
Fractional positions:
Ho (0.2065, 0.2935, 0.7065)
Ho (0.2935, 0.7065, 0.2065)
Ho (0.7065, 0.2065, 0.2935)
Ho (0.7935, 0.7935, 0.7935)
Tm (0.0221, 0.5221, 0.9779)
Tm (0.4779, 0.4779, 0.4779)
Tm (0.5221, 0.9779, 0.0221)
Tm (0.9779, 0.0221, 0.5221)
Th (0.1316, 0.1316, 0.1316)
Th (0.3684, 0.8684, 0.6316)
Th (0.6316, 0.3684, 0.8684)
Th (0.8684, 0.6316, 0.3684)